# 1
# ZrReIr2

An optimized crystal structure of ZrReIr2 (PBE, the Alexandria database).

## Properties
ΔE_f, eV per atom: -0.28
DFT total energy, eV/atom: -9.96
Energy above the lowest structure with this stoichiometry, eV per formula unit: 0.50

Cell and atoms, written as POSCAR:
```
ZrReIr2
1.0
4.9536 -0.0056 -0.0095
1.7655 4.6284 0.0095
-3.3546 -2.3186 2.8124
Ir Re Zr
2 1 1
Direct
0.0000 0.0000 0.0000
0.7500 0.2500 0.5000
0.5000 0.5000 0.0000
0.2500 0.7500 0.5000
```



# 2
# ZnPS2Cl

An optimized crystal structure of ZnPS2Cl (PBE, the Alexandria database).

## Properties
Energy relative to the elements, uncorrected, eV per atom: 1.233
DFT total energy, eV/atom: -2.12
Energy above the lowest structure with this stoichiometry, eV per formula unit: 4.64

Cell and atoms, written as POSCAR:
```
ZnPS2Cl
1.0
-4.0001 1.7704 1.4054
-2.1207 -3.9280 -1.0879
0.8226 -1.6781 4.4554
P Zn S Cl
1 1 2 1
Direct
0.0000 0.0000 0.5000
0.5000 0.5000 0.5000
0.0000 0.5000 0.0000
0.5000 0.0000 0.0000
0.0000 0.0000 0.0000
```



# 3
# Fe2CuRu

An optimized crystal structure of Fe2CuRu (PBE, the Alexandria database).

## Properties
ΔE_f, eV per atom: 0.19
DFT total energy, eV/atom: -7.39
Energy above the lowest structure with this stoichiometry, eV per formula unit: 0.09

Cell and atoms, written as POSCAR:
```
Fe2CuRu
1.0
-1.0348 -2.4224 0.1586
1.8542 -0.9803 -2.8753
3.9829 -1.4997 3.0797
Cu Fe Ru
1 2 1
Direct
0.5000 0.5000 0.7589
0.0000 0.0000 0.0017
0.5000 0.5000 0.2555
0.0000 0.0000 0.4839
```



# 4
# NaSr2Zr

An optimized crystal structure of NaSr2Zr (PBE, the Alexandria database).

## Properties
ΔE_f, eV per atom: 0.77
DFT total energy, eV/atom: -2.54
Energy above the lowest structure with this stoichiometry, eV per formula unit: 0.70

Cell and atoms, written as POSCAR:
```
NaSr2Zr
1.0
9.2103 0.0000 0.0000
0.0000 9.2103 0.0000
4.6051 4.6051 3.6658
Sr Zr Na
4 2 2
Direct
0.6104 0.1250 0.2500
0.1396 0.6250 0.2500
0.3750 0.3896 0.7500
0.8750 0.8604 0.7500
0.0000 0.0000 0.0000
0.7500 0.2500 0.5000
0.5000 0.5000 0.0000
0.2500 0.7500 0.5000
```



# 5
# Cs2ScBeSn

An optimized crystal structure of Cs2ScBeSn (PBE, the Alexandria database).

## Properties
ΔE_f, eV per atom: 1.07
DFT total energy, eV/atom: -2.08

Cell and atoms, written as POSCAR:
```
Cs2ScBeSn
1.0
-4.1923 5.2002 2.0346
-0.4547 -2.0167 4.2176
5.5430 3.5674 2.3034
Cs Sc Sn Be
2 1 1 1
Direct
0.0000 0.0000 0.5000
0.5000 0.0000 0.0000
0.0000 0.0000 0.0000
0.5000 0.5000 0.5000
0.0000 0.5000 0.0000
```



# 6
# Mo2IrRu2

An optimized crystal structure of Mo2IrRu2 (PBE, the Alexandria database).

## Properties
ΔE_f, eV per atom: 0.01
DFT total energy, eV/atom: -9.81
Energy above the lowest structure with this stoichiometry, eV per formula unit: 0.24

Cell and atoms, written as POSCAR:
```
Mo2IrRu2
1.0
-0.5067 1.1692 -3.9556
-5.3960 0.6303 0.8775
1.2602 5.6490 3.6914
Mo Ir Ru
4 2 4
Direct
0.4030 0.5737 0.8061
0.8009 0.8116 0.6019
0.1991 0.3116 0.3981
0.5970 0.0737 0.1939
0.3881 0.0740 0.7763
0.6119 0.5740 0.2237
0.0006 0.8383 0.0012
0.8019 0.3367 0.6038
0.1981 0.8367 0.3962
0.9994 0.3383 0.9988
```



# 7
# Pr4Dy6Tm

An optimized crystal structure of Pr4Dy6Tm (PBE, the Alexandria database).

## Properties
ΔE_f, eV per atom: 0.16
DFT total energy, eV/atom: -4.49
Energy above the lowest structure with this stoichiometry, eV per formula unit: 0.00

Cell and atoms, written as POSCAR:
```
Pr4Dy6Tm
1.0
-1.1925 -2.2981 2.4666
9.5282 -5.6001 -0.6110
-1.0788 8.3154 7.2258
Pr Dy Tm
4 6 1
Direct
0.5000 0.8364 0.6728
0.5000 0.3272 0.1636
0.5000 0.8364 0.1636
0.0000 0.3333 0.6667
0.0000 0.5106 0.0212
0.5000 0.6414 0.8207
0.0000 0.5106 0.4894
0.0000 0.9788 0.4894
0.5000 0.1793 0.8207
0.5000 0.1793 0.3586
0.0000 0.0000 0.0000
```



# 8
# Ac4Pr3NpN8

An optimized crystal structure of Ac4Pr3NpN8 (PBE, the Alexandria database).

## Properties
Energy relative to the elements, uncorrected, eV per atom: -1.131
DFT total energy, eV/atom: -8.03

Cell and atoms, written as POSCAR:
```
Ac4Pr3NpN8
1.0
7.4577 0.0000 0.0000
0.0000 7.5408 0.0529
-3.7288 -3.7255 5.2755
Ac Pr Np N
4 3 1 8
Direct
0.5000 0.0000 0.0000
0.5000 0.0000 0.5000
0.0000 0.0000 0.0000
0.0000 0.0000 0.5000
0.5000 0.5000 0.0000
0.5000 0.5000 0.5000
0.0000 0.5000 0.5000
0.0000 0.5000 0.0000
0.2207 0.7127 0.9920
0.2208 0.7128 0.4416
0.2541 0.2624 0.5083
0.7713 0.7127 0.9920
0.2287 0.2873 0.0080
0.7459 0.7376 0.4917
0.7792 0.2872 0.5584
0.7793 0.2873 0.0080
```



# 9
# TmAlH6

An optimized crystal structure of TmAlH6 (PBE, the Alexandria database).

## Properties
DFT total energy, eV/atom: -3.72

Cell and atoms, written as POSCAR:
```
TmAlH6
1.0
-3.8775 -1.1001 -1.4626
1.8529 -2.0296 -3.3855
-1.3660 -6.3947 3.0861
Tm Al H
2 2 12
Direct
0.0000 0.5000 0.0000
0.5000 0.0000 0.5000
0.0000 0.5000 0.5000
0.5000 0.0000 0.0000
0.1233 0.6803 0.6956
0.1156 0.9349 0.1005
0.0444 0.8497 0.3893
0.4556 0.3497 0.1107
0.3844 0.4349 0.3995
0.3767 0.1803 0.8044
0.6233 0.8197 0.1956
0.6156 0.5651 0.6005
0.5444 0.6503 0.8893
0.8844 0.0651 0.8995
0.9556 0.1503 0.6107
0.8767 0.3197 0.3044
```



# 10
# PrTmMnAg

An optimized crystal structure of PrTmMnAg (PBE, the Alexandria database).

## Properties
ΔE_f, eV per atom: 0.03
DFT total energy, eV/atom: -5.29

Cell and atoms, written as POSCAR:
```
PrTmMnAg
1.0
-5.0590 0.7484 -0.6962
-3.2849 -3.9505 0.4920
-3.2165 -0.1949 4.0318
Pr Mn Tm Ag
1 1 1 1
Direct
0.5000 0.5000 0.5000
0.2500 0.2500 0.2500
0.0000 0.0000 0.0000
0.7500 0.7500 0.7500
```



# 11
# LaGa3RuRh

An optimized crystal structure of LaGa3RuRh (PBE, the Alexandria database).

## Properties
ΔE_f, eV per atom: -0.47
DFT total energy, eV/atom: -5.58

Cell and atoms, written as POSCAR:
```
LaGa3RuRh
1.0
-3.3289 -4.8884 -1.2115
5.8029 -2.8553 -4.4241
-0.8441 -1.0364 6.5009
La Ga Ru Rh
2 6 2 2
Direct
0.7500 0.2403 0.4805
0.2500 0.7597 0.5195
0.2500 0.2580 0.5159
0.0000 0.2480 0.0000
0.5000 0.7520 0.0000
0.5000 0.2480 0.0000
0.0000 0.7520 0.0000
0.7500 0.7420 0.4841
0.2500 0.0396 0.0791
0.7500 0.9604 0.9209
0.2500 0.4774 0.9547
0.7500 0.5226 0.0453
```



# 12
# HfV2Ge2

An optimized crystal structure of HfV2Ge2 (PBE, the Alexandria database).

## Properties
ΔE_f, eV per atom: 0.00
DFT total energy, eV/atom: -7.48
Energy above the lowest structure with this stoichiometry, eV per formula unit: 1.89

Cell and atoms, written as POSCAR:
```
HfV2Ge2
1.0
-0.2020 -4.5004 -1.0990
-0.7467 -1.0540 4.4535
-4.3348 -2.4639 1.1041
Ge Hf V
2 1 2
Direct
0.7500 0.2500 0.5000
0.2500 0.7500 0.5000
0.0000 0.0000 0.0000
0.3595 0.3595 0.2810
0.6405 0.6405 0.7190
```



# 13
# Re2MoW3

An optimized crystal structure of Re2MoW3 (PBE, the Alexandria database).

## Properties
ΔE_f, eV per atom: 0.07
DFT total energy, eV/atom: -12.36

Cell and atoms, written as POSCAR:
```
Re2MoW3
1.0
-2.2194 -3.5806 -3.4690
6.5996 -1.7795 -0.9550
-0.5164 -1.8385 5.1326
Re Mo W
4 2 6
Direct
0.4163 0.6722 0.4165
0.4188 0.6646 0.9071
0.5812 0.3354 0.0929
0.5837 0.3278 0.5835
0.7514 0.0000 0.2498
0.2486 0.0000 0.7502
0.7505 0.0027 0.7518
0.2495 0.9973 0.2482
0.9141 0.6633 0.9174
0.0878 0.3355 0.5833
0.9122 0.6645 0.4167
0.0859 0.3367 0.0826
```



# 14
# SrMn2I6

An optimized crystal structure of SrMn2I6 (PBE, the Alexandria database).

## Properties
Energy relative to the elements, uncorrected, eV per atom: -0.827
DFT total energy, eV/atom: -4.09
Energy above the lowest structure with this stoichiometry, eV per formula unit: 0.00

Cell and atoms, written as POSCAR:
```
SrMn2I6
1.0
-4.1259 -6.2045 2.8537
2.9693 -7.1511 -6.7293
7.1783 -4.0437 6.1121
Sr Mn I
2 4 12
Direct
0.2500 0.1152 0.8848
0.7500 0.8848 0.1152
0.2037 0.6187 0.7693
0.2963 0.2307 0.3813
0.7963 0.3813 0.2307
0.7037 0.7693 0.6187
0.4032 0.7179 0.5557
0.0968 0.4443 0.2821
0.5968 0.2821 0.4443
0.9032 0.5557 0.7179
0.8839 0.8658 0.3996
0.6161 0.6004 0.1342
0.1161 0.1342 0.6004
0.3839 0.3996 0.8658
0.1457 0.8032 0.9578
0.3543 0.0422 0.1968
0.8543 0.1968 0.0422
0.6457 0.9578 0.8032
```



# 15
# Nd5Th3H12

An optimized crystal structure of Nd5Th3H12 (PBE, the Alexandria database).

## Properties
DFT total energy, eV/atom: -4.74

Cell and atoms, written as POSCAR:
```
Nd5Th3H12
1.0
11.7861 0.0000 0.0000
-3.9287 11.1121 0.0000
-3.9287 -5.5560 9.6233
Th Nd H
12 20 48
Direct
0.7500 0.3750 0.1250
0.8750 0.7500 0.1250
0.3750 0.7500 0.6250
0.2500 0.1250 0.3750
0.8750 0.1250 0.2500
0.3750 0.6250 0.2500
0.6250 0.3750 0.7500
0.1250 0.8750 0.7500
0.7500 0.8750 0.6250
0.6250 0.2500 0.3750
0.1250 0.2500 0.8750
0.2500 0.6250 0.8750
0.1250 0.3750 0.2500
0.0000 0.5000 0.0000
0.0000 0.0000 0.0000
0.3750 0.2500 0.1250
0.5000 0.0000 0.5000
0.5000 0.5000 0.0000
0.1250 0.7500 0.3750
0.7500 0.1250 0.8750
0.7500 0.6250 0.3750
0.3750 0.1250 0.7500
0.6250 0.8750 0.2500
0.5000 0.5000 0.5000
0.5000 0.0000 0.0000
0.0000 0.0000 0.5000
0.2500 0.3750 0.6250
0.2500 0.8750 0.1250
0.0000 0.5000 0.5000
0.8750 0.2500 0.6250
0.6250 0.7500 0.8750
0.8750 0.6250 0.7500
0.7292 0.1538 0.0740
0.3448 0.5740 0.4201
0.9260 0.3462 0.2708
0.5740 0.2292 0.1538
0.5753 0.7292 0.6552
0.9260 0.5799 0.1552
0.3448 0.7708 0.4247
0.0799 0.9247 0.1538
0.5799 0.9260 0.6552
0.7292 0.5753 0.1552
0.7708 0.4260 0.3462
0.8448 0.9201 0.0740
0.1538 0.7292 0.5740
0.3462 0.4201 0.0753
0.0753 0.9201 0.3462
0.4247 0.1538 0.5799
0.0753 0.1552 0.2292
0.4260 0.6552 0.0799
0.8448 0.9247 0.2708
0.1538 0.4247 0.0799
0.3462 0.9260 0.7708
0.5799 0.6538 0.4247
0.9201 0.8448 0.5740
0.7708 0.3448 0.9247
0.4201 0.3462 0.5753
0.0799 0.1552 0.4260
0.2292 0.6552 0.0753
0.1552 0.0753 0.7292
0.6538 0.0740 0.2292
0.8462 0.5753 0.9201
0.5740 0.3448 0.9201
0.5753 0.8462 0.4201
0.9247 0.8448 0.7708
0.9247 0.0799 0.6538
0.8462 0.2708 0.4260
0.1552 0.0799 0.9260
0.6538 0.5799 0.9247
0.4201 0.0740 0.3448
0.2708 0.4247 0.8448
0.2292 0.5740 0.6538
0.9201 0.0753 0.8462
0.6552 0.2292 0.5753
0.4260 0.7708 0.8462
0.0740 0.4201 0.8448
0.4247 0.2708 0.3448
0.0740 0.6538 0.7292
0.6552 0.4260 0.5799
0.2708 0.8462 0.9260
```



# 16
# Hg2H2I7

An optimized crystal structure of Hg2H2I7 (PBE, the Alexandria database).

## Properties
DFT total energy, eV/atom: -1.74

Cell and atoms, written as POSCAR:
```
Hg2H2I7
1.0
-2.4380 12.8930 -2.3114
-0.6661 -7.2601 -3.7870
-5.6426 -6.0163 3.0844
Hg H I
2 2 7
Direct
0.2608 0.7129 0.4707
0.7392 0.2871 0.5293
0.1556 0.1702 0.8379
0.8444 0.8298 0.1621
0.9353 0.4592 0.2079
0.5212 0.1171 0.6946
0.0647 0.5408 0.7921
0.4788 0.8829 0.3054
0.0000 0.0000 0.0000
0.2726 0.2942 0.7256
0.7274 0.7058 0.2744
```



# 17
# Sr4PbF10

An optimized crystal structure of Sr4PbF10 (PBE, the Alexandria database).

## Properties
Energy relative to the elements, uncorrected, eV per atom: -3.643
DFT total energy, eV/atom: -5.59

Cell and atoms, written as POSCAR:
```
Sr4PbF10
1.0
4.1326 0.0000 0.5078
2.0351 3.5968 0.5078
-0.0114 -0.0066 17.1623
Sr Pb F
4 1 10
Direct
0.4009 0.4009 0.7974
0.8003 0.8003 0.5991
0.1997 0.1997 0.4009
0.5991 0.5991 0.2026
0.0000 0.0000 0.0000
0.9488 0.9488 0.1536
0.1501 0.1501 0.5498
0.5495 0.5495 0.3515
0.3510 0.3510 0.9469
0.7507 0.7507 0.7480
0.6490 0.6490 0.0531
0.8499 0.8499 0.4502
0.2493 0.2493 0.2520
0.0512 0.0512 0.8464
0.4505 0.4505 0.6485
```



# 18
# NpCo2NiH8

An optimized crystal structure of NpCo2NiH8 (PBE, the Alexandria database).

## Properties
DFT total energy, eV/atom: -5.05

Cell and atoms, written as POSCAR:
```
NpCo2NiH8
1.0
4.3758 0.0000 0.0000
2.1879 3.7895 0.0000
2.1879 1.2632 5.2415
Np Co Ni H
1 2 1 8
Direct
0.5000 0.5000 0.5000
0.2986 0.2986 0.1043
0.7014 0.7014 0.8957
0.0000 0.0000 0.0000
0.1952 0.1952 0.4143
0.6394 0.3190 0.1394
0.8048 0.8048 0.5857
0.9022 0.6394 0.1394
0.0978 0.3606 0.8606
0.3190 0.9022 0.1394
0.6810 0.0978 0.8606
0.3606 0.6810 0.8606
```



# 19
# ZrBe2Pb

An optimized crystal structure of ZrBe2Pb (PBE, the Alexandria database).

## Properties
ΔE_f, eV per atom: 0.17
DFT total energy, eV/atom: -4.76

Cell and atoms, written as POSCAR:
```
ZrBe2Pb
1.0
3.9817 0.0000 0.0000
0.0000 3.2012 -0.0026
0.0000 0.0040 5.4669
Pb Be Zr
1 2 1
Direct
0.5000 0.2500 0.2500
0.0000 0.2502 0.9406
0.0000 0.2498 0.5594
0.5000 0.7500 0.7500
```